1.
This record from the Alexandria database describes a relaxed structure of Te2Ru. The functional is PBE-GGA.

Properties
The energy relative to the elements, uncorrected is -2 meV per atom. The crystal system is monoclinic.

Unit cell a=7.522 b=7.522 c=7.790 alpha=116.94 beta=116.94 gamma=28.54
Fractional coordinates of all 6 atoms:
Te: 0.000 0.000 0.000
Te: 0.029 0.029 0.443
Te: 0.238 0.238 0.331
Te: 0.777 0.777 0.900
Ru: 0.223 0.223 0.642
Ru: 0.593 0.593 0.274



2.
This record from the Alexandria database describes a relaxed structure of Pr3Nd8Sm2. The functional is PBE-GGA.

Properties
The crystal system is monoclinic. As for the energy of formation: 211.2 meV/atom. As for the energy relative to the lowest polymorph listed for this composition: 0.84 eV per formula unit.

Unit cell a=11.106 b=11.106 c=5.840 alpha=90.04 beta=90.04 gamma=41.03
Fractional coordinates of all 13 atoms:
Pr: 0.000 0.000 0.000
Pr: 0.288 0.712 0.500
Pr: 0.712 0.288 0.500
Nd: 0.135 0.135 0.499
Nd: 0.185 0.601 0.000
Nd: 0.327 0.327 0.499
Nd: 0.399 0.815 0.000
Nd: 0.601 0.185 0.000
Nd: 0.673 0.673 0.501
Nd: 0.815 0.399 0.000
Nd: 0.865 0.865 0.501
Sm: 0.242 0.242 0.998
Sm: 0.758 0.758 0.002



Taking the records one at a time from the top gives VASP energy values of -5.188; -4.552 eV/atom.
Taking the records one at a time from the top gives total moment values of 0.0; 0.0 μB/cell.